[1]
The following is a PBE-GGA calculation of a relaxed Ba2ZrOs crystal, from Alexandria via LeMat-Bulk.

a b c (Å): 3.6051 5.1321 6.1298
angles (deg): 90.00 90.00 90.00
Positions (direct):
Ba: 0.0000 0.0000 0.4934
Ba: 0.0000 0.0000 0.0066
Zr: 0.5000 0.5000 0.7500
Os: 0.5000 0.5000 0.2500

Values from the calculation:
- Total moment: 0.00 μB/cell
- Offset from the most stable computed form: 3.53 eV per formula unit
- ΔE_f: 1087 meV/atom
- Space-group type: Pmmm



[2]
The following is a PBE-GGA calculation of a relaxed Pr3YS6 crystal, from Alexandria via LeMat-Bulk.

a b c (Å): 8.2997 8.2997 8.2997
angles (deg): 91.49 91.49 91.49
Positions (direct):
S: 0.0876 0.9234 0.6903
S: 0.8123 0.4618 0.5906
S: 0.5382 0.4094 0.1877
S: 0.6903 0.0876 0.9234
S: 0.9234 0.6903 0.0876
S: 0.4618 0.5906 0.8123
S: 0.5906 0.8123 0.4618
S: 0.1877 0.5382 0.4094
S: 0.4094 0.1877 0.5382
S: 0.3097 0.9124 0.0766
S: 0.0766 0.3097 0.9124
S: 0.9124 0.0766 0.3097
Y: 0.0000 0.0000 0.0000
Y: 0.5000 0.5000 0.5000
Pr: 0.0755 0.2493 0.5673
Pr: 0.2493 0.5673 0.0755
Pr: 0.4327 0.9245 0.7507
Pr: 0.9245 0.7507 0.4327
Pr: 0.7507 0.4327 0.9245
Pr: 0.5673 0.0755 0.2493

Values from the calculation:
- Total moment: 0.00 μB/cell
- ΔE_f (raw): -2.051 eV/atom
- Space-group type: R-3



[3]
The following is a PBE-GGA calculation of a relaxed BaDyMg4 crystal, from Alexandria via LeMat-Bulk.

a b c (Å): 6.2928 6.2928 6.2928
angles (deg): 60.00 60.00 60.00
Positions (direct):
Mg: 0.6262 0.1214 0.6262
Mg: 0.6262 0.6262 0.1214
Mg: 0.1214 0.6262 0.6262
Mg: 0.6262 0.6262 0.6262
Dy: 0.0000 0.0000 0.0000
Ba: 0.2500 0.2500 0.2500

Values from the calculation:
- Total moment: 0.00 μB/cell
- ΔE_f: -22 meV/atom
- Space-group type: F-43m



[4]
The following is a PBE-GGA calculation of a relaxed ErThCo4 crystal, from Alexandria via LeMat-Bulk.

a b c (Å): 3.9232 3.9196 6.7840
angles (deg): 90.00 90.00 90.00
Each line ends with the local moment (μB).
Positions (direct):
Er: 0.9986 0.4973 0.9981  -0.13
Co: 0.4986 0.4973 0.3285  0.47
Co: 0.4986 0.9973 0.1637  0.51
Co: 0.4986 0.4973 0.6678  0.47
Co: 0.4986 0.9973 0.8326  0.51
Th: 0.9986 0.9973 0.4981  -0.12

Values from the calculation:
- Total moment: 1.59 μB/cell
- ΔE_f: -210 meV/atom
- Space-group type: Pmmm



[5]
The following is a PBE-GGA calculation of a relaxed ThVNi crystal, from Alexandria via LeMat-Bulk.

a b c (Å): 3.7187 3.7187 8.4747
angles (deg): 102.67 102.67 90.00
Positions (direct):
Ni: 0.1086 0.1086 0.2172
Ni: 0.8914 0.8914 0.7829
Th: 0.6751 0.6751 0.3503
Th: 0.3249 0.3249 0.6497
V: 0.5000 0.0000 0.0000
V: 0.0000 0.5000 0.0000

Values from the calculation:
- Total moment: 0.00 μB/cell
- ΔE_f: -101 meV/atom
- Space-group type: I4/mmm



[6]
The following is a PBE-GGA calculation of a relaxed Sr2NdEu crystal, from Alexandria via LeMat-Bulk.

a b c (Å): 3.9414 3.9414 11.6895
angles (deg): 90.00 90.00 90.00
Each line ends with the local moment (μB).
Positions (direct):
Eu: 0.5000 0.5000 0.5000  6.99
Nd: 0.5000 0.5000 0.0000  -0.11
Sr: 0.0000 0.0000 0.2374  0.01
Sr: 0.0000 0.0000 0.7626  0.01

Values from the calculation:
- Total moment: 7.28 μB/cell
- Offset from the most stable computed form: 0.00 eV per formula unit
- ΔE_f: 124 meV/atom
- Space-group type: P4/mmm



[7]
The following is a PBE-GGA calculation of a relaxed LaPbBr5 crystal, from Alexandria via LeMat-Bulk.

a b c (Å): 4.4758 8.4189 14.0900
angles (deg): 92.66 90.00 90.00
Positions (direct):
La: 0.2500 0.4162 0.3495
La: 0.7500 0.5838 0.6505
Br: 0.2500 0.8554 0.0715
Br: 0.2500 0.3816 0.7092
Br: 0.2500 0.3538 0.1349
Br: 0.2500 0.0717 0.3176
Br: 0.7500 0.1446 0.9285
Br: 0.7500 0.9283 0.6824
Br: 0.2500 0.6826 0.5154
Br: 0.7500 0.6184 0.2908
Br: 0.7500 0.3174 0.4846
Br: 0.7500 0.6462 0.8651
Pb: 0.7500 0.0896 0.1360
Pb: 0.2500 0.9104 0.8640

Values from the calculation:
- Total moment: 0.00 μB/cell
- ΔE_f (raw): -1.501 eV/atom
- Space-group type: P2_1/m



[8]
The following is a PBE-GGA calculation of a relaxed In2Bi8Ir crystal, from Alexandria via LeMat-Bulk.

a b c (Å): 6.2996 8.9719 8.9719
angles (deg): 58.68 62.29 62.29
Positions (direct):
Bi: 0.1807 0.3158 0.7888
Bi: 0.0830 0.7927 0.7927
Bi: 0.2976 0.3616 0.3616
Bi: 0.8193 0.2112 0.6842
Bi: 0.9170 0.2073 0.2073
Bi: 0.7024 0.6384 0.6384
Bi: 0.1807 0.7888 0.3158
Bi: 0.8193 0.6842 0.2112
Ir: 0.0000 0.0000 0.0000
In: 0.4926 0.1316 0.1316
In: 0.5074 0.8684 0.8684

Values from the calculation:
- Total moment: 0.00 μB/cell
- ΔE_f: 71 meV/atom
- Space-group type: C2/m



[9]
The following is a PBE-GGA calculation of a relaxed Cr4SbPb crystal, from Alexandria via LeMat-Bulk.

a b c (Å): 5.0876 5.0876 5.0876
angles (deg): 60.00 60.00 60.00
Each line ends with the local moment (μB).
Positions (direct):
Cr: 0.8748 0.3751 0.3751  0.25
Cr: 0.3751 0.3751 0.3751  0.25
Cr: 0.3751 0.3751 0.8748  0.25
Cr: 0.3751 0.8748 0.3751  0.25
Pb: 0.7500 0.7500 0.7500  0.00
Sb: 0.0000 0.0000 0.0000  0.01

Values from the calculation:
- Total moment: 1.08 μB/cell
- ΔE_f (raw): 0.609 eV/atom
- Space-group type: F-43m



[10]
The following is a PBE-GGA calculation of a relaxed TiAs3C crystal, from Alexandria via LeMat-Bulk.

a b c (Å): 4.8404 4.8404 4.8404
angles (deg): 90.00 90.00 90.00
Each line ends with the local moment (μB).
Positions (direct):
C: 0.5000 0.5000 0.5000  0.84
As: 0.0000 0.0000 0.5000  -0.09
As: 0.0000 0.5000 0.0000  0.01
As: 0.5000 0.0000 0.0000  -0.01
Ti: 0.0000 0.0000 0.0000  0.12

Values from the calculation:
- Total moment: 1.67 μB/cell
- Offset from the most stable computed form: 3.12 eV per formula unit
- ΔE_f: 1441 meV/atom
- Space-group type: Pm-3m



[11]
The following is a PBE-GGA calculation of a relaxed LaCo2SiC crystal, from Alexandria via LeMat-Bulk.

a b c (Å): 3.9503 5.6961 6.8107
angles (deg): 90.00 90.00 110.29
Positions (direct):
Si: 0.7240 0.4481 0.7500
Si: 0.2759 0.5519 0.2500
Co: 0.1624 0.3248 0.5575
Co: 0.1624 0.3248 0.9425
Co: 0.8376 0.6752 0.0575
Co: 0.8376 0.6752 0.4425
C: 0.0000 0.0000 0.5000
C: 0.0000 0.0000 0.0000
La: 0.5579 0.1157 0.2500
La: 0.4421 0.8843 0.7500

Values from the calculation:
- Total moment: 0.00 μB/cell
- ΔE_f (raw): -0.446 eV/atom
- Space-group type: Cmcm



[12]
The following is a PBE-GGA calculation of a relaxed CsPaSnSe4 crystal, from Alexandria via LeMat-Bulk.

a b c (Å): 10.2665 8.7618 8.8040
angles (deg): 120.16 90.00 125.86
Positions (direct):
Se: 0.7419 0.4839 0.2858
Se: 0.3395 0.0264 0.7632
Se: 0.6869 0.0264 0.7632
Se: 0.6605 0.9736 0.2368
Se: 0.2581 0.5161 0.3020
Se: 0.2581 0.5161 0.7142
Se: 0.3131 0.9736 0.2368
Se: 0.7419 0.4839 0.6980
Sn: 0.5000 0.5000 0.5000
Sn: 0.0000 0.5000 0.5000
Pa: 0.5000 0.0000 0.0000
Pa: 0.5000 0.0000 0.5000
Cs: 0.9449 0.8899 0.1949
Cs: 0.0551 0.1101 0.8051

Values from the calculation:
- Total moment: 0.00 μB/cell
- ΔE_f (raw): -1.072 eV/atom
- Space-group type: Imma



Here are the calculated energy numbers, same order: -19.277 -132.153 -13.037 -41.669 -45.246 -17.909 -55.018 -44.599 -42.670 -23.860 -72.034 -71.592 (eV/cell).